A relaxed structure of Sr2MoSe. Source: Alexandria, functional GGA-PBE.

N(E_F) ... 1.683 states/eV/cell
Theoretical density ... 4.37 g/cm3
SG ... P4mm
Uncorrected formation energy ... 0.14 eV per atom
Total moment ... 4.00 μB/f.u.

a = 4.503 Å, b = 4.503 Å, c = 6.563 Å
α = 90.00°, β = 90.00°, γ = 90.00°
Fractional coordinates of all 4 atoms:
Sr 0.000 0.000 0.000
Sr 0.500 0.500 0.433
Mo 0.000 0.000 0.507
Se 0.500 0.500 0.940